Entry 1:
# K2Tl2Rh

An optimized crystal structure of K2Tl2Rh (GGA-PBE, Alexandria via LeMat-Bulk).

## Properties
Final energy, eV/atom: -2.78
Total magnetic moment, μB per formula unit: 0.00
Calculated density, g cm⁻³: 6.07
Space group: No. 127
E_form, eV per atom: 0.08
DOS at the Fermi energy, states/eV per cell: 6.39

a b c (Å): 7.304 7.304 6.053
angles (deg): 90.00 90.00 90.00
Fractional positions:
Rh  0.000  0.000  0.000
Rh  0.500  0.500  0.000
Tl  0.167  0.333  0.000
Tl  0.833  0.667  0.000
Tl  0.667  0.167  0.000
Tl  0.333  0.833  0.000
K  0.178  0.678  0.500
K  0.678  0.822  0.500
K  0.822  0.322  0.500
K  0.322  0.178  0.500

Entry 2:
# TbY2Se4

An optimized crystal structure of TbY2Se4 (GGA-PBE, Alexandria via LeMat-Bulk).

## Properties
Final energy, eV/atom: -6.34
Total magnetic moment, μB per formula unit: 0.00
Calculated density, g cm⁻³: 5.45
Energy relative to the elements, uncorrected, meV per atom: -1841
Distance to the lowest polymorph of the same formula, meV/atom: 6
Space group: No. 12
DOS at the Fermi energy, states/eV per cell: 2.89

a b c (Å): 4.103 7.156 8.013
angles (deg): 117.96 104.83 90.00
Fractional positions:
Y  0.266  0.255  0.531
Y  0.734  0.745  0.469
Se  0.635  0.281  0.270
Se  0.365  0.719  0.730
Se  0.877  0.197  0.753
Se  0.123  0.803  0.247
Tb  0.000  0.000  0.000